Record 1
The following is a DFT calculation (PBE-GGA) of a geometry-optimized Er3TmPd4 structure.

Cell and atoms, written as CIF:
```
data_Er3TmPd4
_cell_length_a 3.693
_cell_length_b 6.637
_cell_length_c 15.175
_cell_angle_alpha 90.00
_cell_angle_beta 90.00
_cell_angle_gamma 90.00
_symmetry_space_group_name_H-M 'I m m m'
_symmetry_Int_Tables_number 71
_symmetry_space_group_name_Hall '-I 2 2'
loop_
_atom_site_label
_atom_site_fract_x
_atom_site_fract_y
_atom_site_fract_z
Er1 0.000 0.000 0.000
Er2 0.000 0.500 0.203
Tm1 0.000 0.000 0.500
Pd1 0.000 0.293 0.371
```

Computed properties:
- Energy relative to the elements: -726 meV per atom
- Total DFT energy (no corrections): -5.5923 eV/atom
- Spin magnetization: 0.00 Bohr magnetons per cell
- Energy above the lowest structure with this stoichiometry: 0.204 eV/atom
- D(E_F): 9.9 states/eV per cell



Record 2
The following is a DFT calculation (PBE-GGA) of a geometry-optimized ErTmPd structure.

Cell and atoms, written as CIF:
```
data_ErTmPd
_cell_length_a 3.503
_cell_length_b 3.503
_cell_length_c 12.079
_cell_angle_alpha 90.00
_cell_angle_beta 90.00
_cell_angle_gamma 90.00
_symmetry_space_group_name_H-M 'I 4 m m'
_symmetry_Int_Tables_number 107
_symmetry_space_group_name_Hall 'I 4 -2'
loop_
_atom_site_label
_atom_site_fract_x
_atom_site_fract_y
_atom_site_fract_z
Er1 0.000 0.000 0.000
Tm1 0.000 0.000 0.277
Pd1 0.000 0.000 0.640
```

Computed properties:
- Energy relative to the elements: -585 meV per atom
- Total DFT energy (no corrections): -5.3271 eV/atom
- Spin magnetization: 0.00 Bohr magnetons per cell
- Energy above the lowest structure with this stoichiometry: 0.070 eV/atom
- D(E_F): 4.2 states/eV per cell



Record 3
The following is a DFT calculation (PBE-GGA) of a geometry-optimized ErTm2Pd4 structure.

Cell and atoms, written as CIF:
```
data_ErTm2Pd4
_cell_length_a 6.878
_cell_length_b 6.878
_cell_length_c 6.471
_cell_angle_alpha 90.00
_cell_angle_beta 90.00
_cell_angle_gamma 90.00
_symmetry_space_group_name_H-M 'I 4/m m m'
_symmetry_Int_Tables_number 139
_symmetry_space_group_name_Hall '-I 4 2'
loop_
_atom_site_label
_atom_site_fract_x
_atom_site_fract_y
_atom_site_fract_z
Er1 0.000 0.000 0.000
Tm1 0.000 0.500 0.000
Pd1 0.250 0.250 0.250
```

Computed properties:
- Energy relative to the elements: -640 meV per atom
- Total DFT energy (no corrections): -5.5367 eV/atom
- Spin magnetization: 0.00 Bohr magnetons per cell
- D(E_F): 8.5 states/eV per cell



Record 4
The following is a DFT calculation (PBE-GGA) of a geometry-optimized ErTm4Pd2 structure.

Cell and atoms, written as CIF:
```
data_ErTm4Pd2
_cell_length_a 7.763
_cell_length_b 6.262
_cell_length_c 7.995
_cell_angle_alpha 90.00
_cell_angle_beta 112.51
_cell_angle_gamma 90.00
_symmetry_space_group_name_H-M 'P 1 21/m 1'
_symmetry_Int_Tables_number 11
_symmetry_space_group_name_Hall '-P 2yb'
loop_
_atom_site_label
_atom_site_fract_x
_atom_site_fract_y
_atom_site_fract_z
Er1 0.156 0.250 0.025
Tm1 0.021 0.250 0.393
Tm2 0.246 0.750 0.347
Tm3 0.407 0.003 0.771
Pd1 0.237 0.750 0.989
Pd2 0.383 0.250 0.420
```

Computed properties:
- Energy relative to the elements: -467 meV per atom
- Total DFT energy (no corrections): -5.1578 eV/atom
- Spin magnetization: 0.00 Bohr magnetons per cell
- Energy above the lowest structure with this stoichiometry: 0.000 eV/atom
- D(E_F): 16.5 states/eV per cell



Record 5
The following is a DFT calculation (PBE-GGA) of a geometry-optimized ErTmPd3 structure.

Cell and atoms, written as CIF:
```
data_ErTmPd3
_cell_length_a 8.332
_cell_length_b 5.438
_cell_length_c 9.262
_cell_angle_alpha 90.00
_cell_angle_beta 106.34
_cell_angle_gamma 90.00
_symmetry_space_group_name_H-M 'P 1 21/c 1'
_symmetry_Int_Tables_number 14
_symmetry_space_group_name_Hall '-P 2ybc'
loop_
_atom_site_label
_atom_site_fract_x
_atom_site_fract_y
_atom_site_fract_z
Er1 0.234 0.246 0.058
Tm1 0.323 0.732 0.831
Pd1 0.008 0.006 0.753
Pd2 0.116 0.746 0.029
Pd3 0.475 0.219 0.869
```

Computed properties:
- Energy relative to the elements: -881 meV per atom
- Total DFT energy (no corrections): -5.8039 eV/atom
- Spin magnetization: 0.00 Bohr magnetons per cell
- D(E_F): 11.2 states/eV per cell



Record 6
The following is a DFT calculation (PBE-GGA) of a geometry-optimized Er5TmPd2 structure.

Cell and atoms, written as CIF:
```
data_Er5TmPd2
_cell_length_a 12.213
_cell_length_b 3.627
_cell_length_c 19.670
_cell_angle_alpha 90.00
_cell_angle_beta 106.55
_cell_angle_gamma 90.00
_symmetry_space_group_name_H-M 'C 1 2/m 1'
_symmetry_Int_Tables_number 12
_symmetry_space_group_name_Hall '-C 2y'
loop_
_atom_site_label
_atom_site_fract_x
_atom_site_fract_y
_atom_site_fract_z
Er1 0.018 0.000 0.222
Er2 0.021 0.500 0.377
Er3 0.117 0.500 0.098
Er4 0.138 0.000 0.948
Er5 0.153 0.000 0.537
Tm1 0.223 0.000 0.727
Pd1 0.182 0.500 0.838
Pd2 0.205 0.000 0.367
```

Computed properties:
- Energy relative to the elements: -461 meV per atom
- Total DFT energy (no corrections): -5.1701 eV/atom
- Spin magnetization: 0.00 Bohr magnetons per cell
- D(E_F): 39.0 states/eV per cell



Record 7
The following is a DFT calculation (PBE-GGA) of a geometry-optimized Er2TmPd9 structure.

Cell and atoms, written as CIF:
```
data_Er2TmPd9
_cell_length_a 4.101
_cell_length_b 4.101
_cell_length_c 12.304
_cell_angle_alpha 90.00
_cell_angle_beta 90.00
_cell_angle_gamma 90.00
_symmetry_space_group_name_H-M 'P 4/m m m'
_symmetry_Int_Tables_number 123
_symmetry_space_group_name_Hall '-P 4 2'
loop_
_atom_site_label
_atom_site_fract_x
_atom_site_fract_y
_atom_site_fract_z
Er1 0.000 0.000 0.167
Tm1 0.000 0.000 0.500
Pd1 0.000 0.500 0.000
Pd2 0.000 0.500 0.334
Pd3 0.500 0.500 0.167
Pd4 0.500 0.500 0.500
```

Computed properties:
- Energy relative to the elements: -899 meV per atom
- Total DFT energy (no corrections): -5.9269 eV/atom
- Spin magnetization: 0.00 Bohr magnetons per cell
- D(E_F): 9.6 states/eV per cell



Record 8
The following is a DFT calculation (PBE-GGA) of a geometry-optimized ErTmPd structure.

Cell and atoms, written as CIF:
```
data_ErTmPd
_cell_length_a 4.7678
_cell_length_b 4.7678
_cell_length_c 3.6784
_cell_angle_alpha 90.00
_cell_angle_beta 90.00
_cell_angle_gamma 120.00
_symmetry_space_group_name_H-M 'P 3 m 1'
_symmetry_Int_Tables_number 156
_symmetry_space_group_name_Hall 'P 3 -2"'
loop_
_atom_site_label
_atom_site_fract_x
_atom_site_fract_y
_atom_site_fract_z
Er1 0.0000 0.0000 0.0000
Tm1 0.6667 0.3333 0.5329
Pd1 0.3333 0.6667 0.2750
```

Computed properties:
- Energy relative to the elements: -419 meV per atom
- Total DFT energy (no corrections): -5.1618 eV/atom
- Spin magnetization: 0.00 Bohr magnetons per cell
- Energy above the lowest structure with this stoichiometry: 0.235 eV/atom
- D(E_F): 2.8 states/eV per cell



Record 9
The following is a DFT calculation (PBE-GGA) of a geometry-optimized Er3Tm2Pd2 structure.

Cell and atoms, written as CIF:
```
data_Er3Tm2Pd2
_cell_length_a 12.518
_cell_length_b 3.673
_cell_length_c 10.019
_cell_angle_alpha 90.00
_cell_angle_beta 126.72
_cell_angle_gamma 90.00
_symmetry_space_group_name_H-M 'C 1 2/m 1'
_symmetry_Int_Tables_number 12
_symmetry_space_group_name_Hall '-C 2y'
loop_
_atom_site_label
_atom_site_fract_x
_atom_site_fract_y
_atom_site_fract_z
Er1 0.000 0.000 0.000
Er2 0.155 0.000 0.708
Tm1 0.112 0.500 0.375
Pd1 0.140 0.500 0.927
```

Computed properties:
- Energy relative to the elements: -418 meV per atom
- Total DFT energy (no corrections): -5.1345 eV/atom
- Spin magnetization: 0.00 Bohr magnetons per cell
- Energy above the lowest structure with this stoichiometry: 0.126 eV/atom
- D(E_F): 15.8 states/eV per cell



Record 10
The following is a DFT calculation (PBE-GGA) of a geometry-optimized Er3TmPd structure.

Cell and atoms, written as CIF:
```
data_Er3TmPd
_cell_length_a 12.068
_cell_length_b 3.661
_cell_length_c 13.706
_cell_angle_alpha 90.00
_cell_angle_beta 115.64
_cell_angle_gamma 90.00
_symmetry_space_group_name_H-M 'C 1 m 1'
_symmetry_Int_Tables_number 8
_symmetry_space_group_name_Hall 'C -2y'
loop_
_atom_site_label
_atom_site_fract_x
_atom_site_fract_y
_atom_site_fract_z
Er1 0.000 0.000 0.000
Er2 0.024 0.000 0.361
Er3 0.061 0.500 0.602
Er4 0.174 0.500 0.891
Er5 0.327 0.000 0.763
Er6 0.352 0.000 0.126
Tm1 0.178 0.500 0.235
Tm2 0.290 0.500 0.522
Pd1 0.007 0.000 0.737
Pd2 0.343 0.000 0.387
```

Computed properties:
- Energy relative to the elements: -370 meV per atom
- Total DFT energy (no corrections): -5.0408 eV/atom
- Spin magnetization: 0.00 Bohr magnetons per cell
- Energy above the lowest structure with this stoichiometry: 0.000 eV/atom
- D(E_F): 23.0 states/eV per cell



Record 11
The following is a DFT calculation (PBE-GGA) of a geometry-optimized Er2TmPd structure.

Cell and atoms, written as CIF:
```
data_Er2TmPd
_cell_length_a 6.931
_cell_length_b 9.547
_cell_length_c 6.420
_cell_angle_alpha 90.00
_cell_angle_beta 90.00
_cell_angle_gamma 90.00
_symmetry_space_group_name_H-M 'P n m a'
_symmetry_Int_Tables_number 62
_symmetry_space_group_name_Hall '-P 2ac 2n'
loop_
_atom_site_label
_atom_site_fract_x
_atom_site_fract_y
_atom_site_fract_z
Er1 0.183 0.059 0.179
Tm1 0.023 0.250 0.628
Pd1 0.107 0.750 0.949
```

Computed properties:
- Energy relative to the elements: -491 meV per atom
- Total DFT energy (no corrections): -5.1885 eV/atom
- Spin magnetization: 0.00 Bohr magnetons per cell
- Energy above the lowest structure with this stoichiometry: 0.000 eV/atom
- D(E_F): 18.4 states/eV per cell



Record 12
The following is a DFT calculation (PBE-GGA) of a geometry-optimized ErTm2Pd3 structure.

Cell and atoms, written as CIF:
```
data_ErTm2Pd3
_cell_length_a 4.939
_cell_length_b 14.818
_cell_length_c 3.412
_cell_angle_alpha 90.00
_cell_angle_beta 90.00
_cell_angle_gamma 90.00
_symmetry_space_group_name_H-M 'P m m n'
_symmetry_Int_Tables_number 59
loop_
_symmetry_equiv_pos_as_xyz
'x,y,z'
'-x,-y,-z'
'-x+1/2,-y+1/2,z'
'x+1/2,y+1/2,-z'
'x+1/2,-y,-z'
'-x+1/2,y,z'
'-x,y+1/2,-z'
'x,-y+1/2,z'
loop_
_atom_site_label
_atom_site_fract_x
_atom_site_fract_y
_atom_site_fract_z
Er1 0.250 0.250 0.001
Tm1 0.250 0.583 0.000
Pd1 0.250 0.082 0.500
Pd2 0.250 0.750 0.500
```

Computed properties:
- Energy relative to the elements: -937 meV per atom
- Total DFT energy (no corrections): -5.7845 eV/atom
- Spin magnetization: 0.00 Bohr magnetons per cell
- Energy above the lowest structure with this stoichiometry: 0.000 eV/atom
- D(E_F): 5.7 states/eV per cell